# 1
This record from Alexandria via LeMat-Bulk describes a geometry-optimized LiThSi4 structure. The functional is PBE.

ρ, kg/m³: 5551
Total energy, eV for the cell shown: -32.3
Crystal system: cubic
Magnetic moment, μB per cell: 0.00
Fermi-level density of states, states/eV/f.u.: 2.38

Cell and atoms, written as extended XYZ:
```
6
Lattice="5.297 0.000 0.000 2.649 4.587 0.000 2.649 1.529 4.325" Properties=species:S:1:pos:R:3 pbc="T T T"
Si 5.297 3.058 0.577
Si 5.297 1.563 2.691
Si 6.592 3.806 2.691
Si 4.003 3.806 2.691
Th 0.000 0.000 0.000
Li 2.649 1.529 1.081
```

=====

# 2
This record from Alexandria via LeMat-Bulk describes a geometry-optimized Li4Th3Si4 structure. The functional is PBE.

ρ, kg/m³: 6452
Total energy, eV for the cell shown: -57.2
Crystal system: orthorhombic
Magnetic moment, μB per cell: 0.00
Fermi-level density of states, states/eV/f.u.: 4.22

Cell and atoms, written as extended XYZ:
```
11
Lattice="-4.028 -1.281 -1.302 2.689 -5.337 -3.070 -0.066 -0.558 8.265" Properties=species:S:1:pos:R:3 pbc="T T T"
Li -0.986 -1.569 4.595
Li -1.418 -3.624 0.439
Li -0.418 -5.607 -0.702
Li 0.013 -3.552 3.455
Th -0.191 -1.002 1.575
Th -1.214 -6.174 2.318
Th 1.345 -2.668 -1.535
Si 1.030 -4.322 1.064
Si -2.435 -2.854 2.829
Si 0.188 -5.011 -3.165
Si -1.527 -1.607 -1.207
```

=====

# 3
This record from Alexandria via LeMat-Bulk describes a geometry-optimized LiTh2Si2 structure. The functional is PBE.

ρ, kg/m³: 7855
Total energy, eV for the cell shown: -60.9
Crystal system: monoclinic
Magnetic moment, μB per cell: 0.00
Fermi-level density of states, states/eV/f.u.: 2.71

Cell and atoms, written as extended XYZ:
```
10
Lattice="-1.551 3.317 -2.261 -3.175 -1.872 -4.665 -8.201 2.073 4.572" Properties=species:S:1:pos:R:3 pbc="T T T"
Li -6.439 3.274 1.029
Li -6.487 0.244 -3.383
Th -4.725 2.344 -1.512
Th -9.650 4.353 0.720
Th -8.201 1.174 -0.842
Th -3.277 -0.835 -3.073
Si -5.735 0.807 1.022
Si -10.996 2.313 -1.350
Si -7.192 2.711 -3.376
Si -1.930 1.205 -1.004
```